The following is a PBE calculation of a relaxed structure of TaVBr2, from Alexandria.

Summary:
**ΔE_f (raw)**: 0.31 eV/atom
**E above lowest polymorph**: 0 meV/atom

a b c (Å): 9.0141 9.0141 9.0141
angles (deg): 20.16 20.16 20.16
Closest atoms and distances in Å follow each position.
Element x y z (fractional)
Ta  0.0000  0.0000  0.0000  2 Br 2.64
V  0.5000  0.5000  0.5000  6 Br 2.54
Br  0.0996  0.0996  0.0996  3 V 2.54, 1 Ta 2.64
Br  0.9004  0.9004  0.9004  3 V 2.54, 1 Ta 2.64